Entry 1:
The following is a GGA-PBE calculation of a relaxed Pr2YZnTe5 crystal, from Alexandria.

Values from the calculation:
DOS(E_F) = 0.170 states/eV/atom
Raw total energy = -87.648 eV/cell
Energy relative to the elements, uncorrected = -1.20 eV/atom

Cell: 4.3191 9.9246 13.2595 Å, 90.00 90.00 102.57°
Sites, in units of the cell vectors:
Pr: 0.8709 0.7419 0.8058
Pr: 0.1140 0.2280 0.6818
Pr: 0.1291 0.2581 0.3058
Pr: 0.8860 0.7720 0.1818
Y: 0.8005 0.6011 0.5110
Y: 0.1995 0.3989 0.0110
Zn: 0.5641 0.1282 0.9561
Zn: 0.4359 0.8718 0.4561
Te: 0.3579 0.7158 0.9985
Te: 0.6876 0.3752 0.8455
Te: 0.4995 0.9989 0.7836
Te: 0.2854 0.5707 0.6730
Te: 0.9540 0.9080 0.5687
Te: 0.6421 0.2842 0.4985
Te: 0.3124 0.6248 0.3455
Te: 0.5005 0.0011 0.2836
Te: 0.7146 0.4293 0.1730
Te: 0.0460 0.0920 0.0687

***

Entry 2:
The following is a GGA-PBE calculation of a relaxed Pr2ZnTe crystal, from Alexandria.

Values from the calculation:
DOS(E_F) = 1.029 states/eV/atom
Raw total energy = -34.550 eV/cell
Energy relative to the elements, uncorrected = -0.83 eV/atom

Cell: 4.5312 4.3742 12.4279 Å, 100.14 90.00 90.00°
Each line ends with the local moment (μB).
Sites, in units of the cell vectors:
Pr: 0.7500 0.6743 0.3485  0.01
Pr: 0.2500 0.3257 0.6515  0.01
Pr: 0.7500 0.9373 0.8747  0.08
Pr: 0.2500 0.0627 0.1253  0.08
Zn: 0.2500 0.4623 0.9246  0.02
Zn: 0.7500 0.5377 0.0754  0.02
Te: 0.2500 0.1935 0.3870  0.00
Te: 0.7500 0.8065 0.6130  0.00

***

Entry 3:
The following is a GGA-PBE calculation of a relaxed Pr3ZnTe3 crystal, from Alexandria.

Values from the calculation:
DOS(E_F) = 0.686 states/eV/atom
Raw total energy = -130.261 eV/cell
Energy relative to the elements, uncorrected = -1.08 eV/atom

Cell: 4.2705 13.2241 15.3050 Å, 90.00 90.00 90.00°
Sites, in units of the cell vectors:
Pr: 0.7500 0.9364 0.8854
Pr: 0.2500 0.5636 0.3854
Pr: 0.2500 0.0636 0.1146
Pr: 0.7500 0.4364 0.6146
Pr: 0.7500 0.8835 0.4355
Pr: 0.2500 0.6165 0.9355
Pr: 0.2500 0.1165 0.5645
Pr: 0.7500 0.3835 0.0645
Pr: 0.7500 0.7502 0.1626
Pr: 0.2500 0.7498 0.6626
Pr: 0.2500 0.2498 0.8374
Pr: 0.7500 0.2502 0.3374
Zn: 0.7500 0.9827 0.2409
Zn: 0.2500 0.5173 0.7409
Zn: 0.2500 0.0173 0.7591
Zn: 0.7500 0.4827 0.2591
Te: 0.7500 0.7183 0.8115
Te: 0.2500 0.7817 0.3115
Te: 0.2500 0.2817 0.1885
Te: 0.7500 0.2183 0.6885
Te: 0.7500 0.1572 0.9764
Te: 0.2500 0.3428 0.4764
Te: 0.2500 0.8428 0.0236
Te: 0.7500 0.6572 0.5236
Te: 0.7500 0.9426 0.6404
Te: 0.2500 0.5574 0.1404
Te: 0.2500 0.0574 0.3596
Te: 0.7500 0.4426 0.8596

***

Entry 4:
The following is a GGA-PBE calculation of a relaxed Pr5Zn2Te crystal, from Alexandria.

Values from the calculation:
DOS(E_F) = 1.206 states/eV/atom
Raw total energy = -66.669 eV/cell
Energy relative to the elements, uncorrected = -0.47 eV/atom

Cell: 7.9896 7.9896 9.2850 Å, 115.48 115.48 90.00°
Each line ends with the local moment (μB).
Sites, in units of the cell vectors:
Pr: 0.5077 0.6940 0.7017  0.07
Pr: 0.8060 0.9923 0.2983  0.07
Pr: 0.0000 0.0000 0.0000  0.25
Pr: 0.5000 0.5000 0.0000  0.25
Pr: 0.1940 0.0077 0.7017  0.07
Pr: 0.6940 0.1940 0.7017  0.07
Pr: 0.0077 0.5077 0.7017  0.07
Pr: 0.3060 0.8060 0.2983  0.07
Pr: 0.9923 0.4923 0.2983  0.07
Pr: 0.4923 0.3060 0.2983  0.07
Zn: 0.1260 0.3740 0.0000  0.00
Zn: 0.6260 0.1260 0.0000  0.00
Zn: 0.3740 0.8740 0.0000  0.00
Zn: 0.8740 0.6260 0.0000  0.00
Te: 0.7500 0.7500 0.5000  -0.01
Te: 0.2500 0.2500 0.5000  -0.01

***

Entry 5:
The following is a GGA-PBE calculation of a relaxed Pr5ZnTe2 crystal, from Alexandria.

Values from the calculation:
DOS(E_F) = 1.381 states/eV/atom
Raw total energy = -71.427 eV/cell
Energy relative to the elements, uncorrected = -0.53 eV/atom

Cell: 6.2220 7.3417 13.4542 Å, 90.00 90.00 115.07°
Sites, in units of the cell vectors:
Pr: 0.9474 0.8948 0.8876
Pr: 0.9474 0.8948 0.6124
Pr: 0.3739 0.7478 0.4329
Pr: 0.3739 0.7478 0.0671
Pr: 0.6387 0.2774 0.2500
Pr: 0.3613 0.7226 0.7500
Pr: 0.6261 0.2522 0.5671
Pr: 0.6261 0.2522 0.9329
Pr: 0.0526 0.1052 0.1124
Pr: 0.0526 0.1052 0.3876
Zn: 0.7665 0.5331 0.7500
Zn: 0.2335 0.4669 0.2500
Te: 0.8155 0.6310 0.4122
Te: 0.8155 0.6310 0.0878
Te: 0.1845 0.3690 0.5878
Te: 0.1845 0.3690 0.9122

***

Entry 6:
The following is a GGA-PBE calculation of a relaxed Pr2ZnTe crystal, from Alexandria.

Values from the calculation:
DOS(E_F) = 0.868 states/eV/atom
Raw total energy = -17.011 eV/cell
Energy relative to the elements, uncorrected = -0.76 eV/atom

Cell: 3.9637 3.9637 7.1115 Å, 90.00 90.00 90.00°
Sites, in units of the cell vectors:
Pr: 0.0000 0.0000 0.7558
Pr: 0.0000 0.0000 0.2442
Zn: 0.5000 0.5000 0.0000
Te: 0.5000 0.5000 0.5000